1.
Ge2PbW2 | PBE | optimized geometry

Cell: 3.6754 3.6754 7.2354 Å, 75.29 75.29 90.00°
With the nearest neighbours (Å) after each atom.
Sites, in units of the cell vectors:
Pb: 0.0000 0.0000 0.0000  8 W 2.98
Ge: 0.7500 0.2500 0.5000  4 Ge 2.60, 4 W 2.65
Ge: 0.2500 0.7500 0.5000  4 Ge 2.60, 4 W 2.65
W: 0.3913 0.3913 0.2174  4 Ge 2.65, 1 W 2.94
W: 0.6087 0.6087 0.7826  4 Ge 2.65, 1 W 2.94

calculated formation energy	0.581	eV/atom
final energy	-35.9	eV/cell

=====

2.
GePbW3 | PBE | optimized geometry

Cell: 4.6830 4.6830 4.6830 Å, 90.00 90.00 90.00°
With the nearest neighbours (Å) after each atom.
Sites, in units of the cell vectors:
Pb: 0.5000 0.5000 0.5000  12 W 3.31
W: 0.5000 0.0000 0.0000  2 Ge 2.34
W: 0.0000 0.5000 0.0000  2 Ge 2.34
W: 0.0000 0.0000 0.5000  2 Ge 2.34
Ge: 0.0000 0.0000 0.0000  6 W 2.34

calculated formation energy	1.726	eV/atom
final energy	-38.6	eV/cell

=====

3.
GePb2W | PBE | optimized geometry

Cell: 6.3494 6.3494 8.0044 Å, 66.63 66.63 90.00°
With the nearest neighbours (Å) after each atom.
Sites, in units of the cell vectors:
Pb: 0.1167 0.6250 0.2500  2 W 2.76, 2 Ge 2.82
Pb: 0.6333 0.1250 0.2500  2 W 2.76, 2 Ge 2.82
Pb: 0.3750 0.3667 0.7500  2 W 2.76, 2 Ge 2.82
Pb: 0.8750 0.8833 0.7500  2 W 2.76, 2 Ge 2.82
Ge: 0.5000 0.5000 0.0000  4 Pb 2.82
Ge: 0.2500 0.7500 0.5000  4 Pb 2.82
W: 0.7500 0.2500 0.5000  4 Pb 2.76
W: 0.0000 0.0000 0.0000  4 Pb 2.76

calculated formation energy	1.385	eV/atom
final energy	-38.9	eV/cell

=====

4.
Y7Ge2Pb2 | PBE | optimized geometry

Cell: 6.9906 6.9932 6.9906 Å, 90.00 102.92 90.00°
With the nearest neighbours (Å) after each atom.
Sites, in units of the cell vectors:
Y: 0.0000 0.7396 0.5000  2 Ge 2.85
Y: 0.0000 0.0000 0.0000  2 Ge 2.99
Y: 0.5000 0.2450 0.5000  2 Ge 3.01, 2 Pb 3.27
Y: 0.5000 0.7550 0.5000  2 Ge 3.01, 2 Pb 3.27
Y: 0.0000 0.2604 0.5000  2 Ge 2.85
Y: 0.5000 0.7396 0.0000  2 Ge 2.85
Y: 0.5000 0.2604 0.0000  2 Ge 2.85
Ge: 0.7264 0.0000 0.2736  7 Y 2.85-3.01
Ge: 0.2736 0.0000 0.7264  7 Y 2.85-3.01
Pb: 0.1851 0.5000 0.1851  1 Pb 3.23, 6 Y 3.26-3.27
Pb: 0.8149 0.5000 0.8149  1 Pb 3.23, 6 Y 3.26-3.27

calculated formation energy	-0.383	eV/atom
final energy	-66.1	eV/cell

=====

5.
Y8GePb5 | PBE | optimized geometry

Cell: 8.0835 8.0835 8.0835 Å, 109.73 108.95 109.73°
With the nearest neighbours (Å) after each atom.
Sites, in units of the cell vectors:
Pb: 0.8783 0.8719 0.2493  8 Y 3.09-3.44
Pb: 0.7507 0.6290 0.6226  8 Y 3.09-3.44
Pb: 0.3774 0.1281 0.0064  8 Y 3.09-3.44
Pb: 0.9936 0.3710 0.1217  8 Y 3.09-3.44
Pb: 0.5000 0.0000 0.5000  8 Y 3.11-3.43
Ge: 0.2500 0.5000 0.7500  8 Y 2.97-3.32
Y: 0.4790 0.6071 0.2266  5 Pb 3.11-3.38, 1 Ge 3.32
Y: 0.2632 0.2605 0.3887  1 Ge 2.97, 2 Pb 3.09-3.13
Y: 0.1281 0.7476 0.5210  5 Pb 3.11-3.38, 1 Ge 3.32
Y: 0.6195 0.3929 0.8719  5 Pb 3.11-3.38, 1 Ge 3.32
Y: 0.7734 0.2524 0.3805  5 Pb 3.11-3.38, 1 Ge 3.32
Y: 0.9973 0.1255 0.7368  1 Ge 2.97, 2 Pb 3.09-3.13
Y: 0.1282 0.7395 0.0027  1 Ge 2.97, 2 Pb 3.09-3.13
Y: 0.6113 0.8745 0.8718  1 Ge 2.97, 2 Pb 3.09-3.13

calculated formation energy	-0.624	eV/atom
final energy	-83.6	eV/cell

=====

6.
Y5Ge2Pb2 | PBE | optimized geometry

Cell: 8.0098 7.9534 8.6882 Å, 90.00 62.55 90.00°
With the nearest neighbours (Å) after each atom.
Sites, in units of the cell vectors:
Pb: 0.7890 0.0000 0.4220  7 Y 3.14-3.25
Pb: 0.2110 0.0000 0.5780  7 Y 3.14-3.25
Pb: 0.2890 0.5000 0.4220  7 Y 3.14-3.25
Pb: 0.7110 0.5000 0.5780  7 Y 3.14-3.25
Y: 0.0412 0.6659 0.2519  3 Ge 2.93-3.13, 3 Pb 3.14-3.25
Y: 0.7069 0.3341 0.2519  3 Ge 2.93-3.13, 3 Pb 3.14-3.25
Y: 0.2069 0.1659 0.2519  3 Ge 2.93-3.13, 3 Pb 3.14-3.25
Y: 0.0000 0.0000 0.0000  4 Ge 3.08-3.10, 2 Pb 3.25
Y: 0.2931 0.6659 0.7481  3 Ge 2.93-3.13, 3 Pb 3.14-3.25
Y: 0.5412 0.8341 0.2519  3 Ge 2.93-3.13, 3 Pb 3.14-3.25
Y: 0.7931 0.8341 0.7481  3 Ge 2.93-3.13, 3 Pb 3.14-3.25
Y: 0.4588 0.1659 0.7481  3 Ge 2.93-3.13, 3 Pb 3.14-3.25
Y: 0.5000 0.5000 0.0000  4 Ge 3.08-3.10, 2 Pb 3.25
Y: 0.9588 0.3341 0.7481  3 Ge 2.93-3.13, 3 Pb 3.14-3.25
Ge: 0.3613 0.8611 0.0000  8 Y 2.93-3.13, 1 Ge 3.13
Ge: 0.6387 0.1389 0.0000  8 Y 2.93-3.13, 1 Ge 3.13
Ge: 0.1387 0.3611 0.0000  8 Y 2.93-3.13, 1 Ge 3.13
Ge: 0.8613 0.6389 0.0000  8 Y 2.93-3.13, 1 Ge 3.13

calculated formation energy	-0.740	eV/atom
final energy	-111.3	eV/cell

=====

7.
Y2Ge2Pb | PBE | optimized geometry

Cell: 5.0480 5.0480 6.4965 Å, 67.14 67.14 90.00°
With the nearest neighbours (Å) after each atom.
Sites, in units of the cell vectors:
Ge: 0.3879 0.3879 0.2242  1 Ge 2.43
Ge: 0.6121 0.6121 0.7758  1 Ge 2.43
Y: 0.7500 0.2500 0.5000  4 Ge 2.93
Y: 0.2500 0.7500 0.5000  4 Ge 2.93
Pb: 0.0000 0.0000 0.0000  8 Y 3.71, 8 Ge 3.77

calculated formation energy	-0.271	eV/atom
final energy	-27.2	eV/cell

=====

8.
Y5Ge2Pb | PBE | optimized geometry

Cell: 7.9375 7.9375 8.8274 Å, 116.72 116.72 90.00°
With the nearest neighbours (Å) after each atom.
Sites, in units of the cell vectors:
Y: 0.2959 0.7959 0.2812  3 Ge 2.92-3.08
Y: 0.5000 0.5000 0.0000  4 Ge 3.03
Y: 0.0147 0.5147 0.7188  3 Ge 2.92-3.08
Y: 0.4853 0.2959 0.2812  3 Ge 2.92-3.08
Y: 0.5147 0.7041 0.7188  3 Ge 2.92-3.08
Y: 0.2041 0.0147 0.7188  3 Ge 2.92-3.08
Y: 0.7041 0.2041 0.7188  3 Ge 2.92-3.08
Y: 0.9853 0.4853 0.2812  3 Ge 2.92-3.08
Y: 0.0000 0.0000 0.0000  4 Ge 3.03
Y: 0.7959 0.9853 0.2812  3 Ge 2.92-3.08
Pb: 0.2500 0.2500 0.5000  10 Y 3.35-3.41
Pb: 0.7500 0.7500 0.5000  10 Y 3.35-3.41
Ge: 0.6484 0.1484 0.0000  8 Y 2.92-3.08
Ge: 0.1484 0.3516 0.0000  8 Y 2.92-3.08
Ge: 0.8516 0.6484 0.0000  8 Y 2.92-3.08
Ge: 0.3516 0.8516 0.0000  8 Y 2.92-3.08

calculated formation energy	-0.727	eV/atom
final energy	-102.2	eV/cell

=====

9.
Y3GePb | PBE | optimized geometry

Cell: 5.4042 5.4042 5.4042 Å, 90.00 90.00 90.00°
With the nearest neighbours (Å) after each atom.
Sites, in units of the cell vectors:
Pb: 0.5000 0.5000 0.5000  12 Y 3.82
Y: 0.0000 0.0000 0.5000  2 Ge 2.70
Y: 0.5000 0.0000 0.0000  2 Ge 2.70
Y: 0.0000 0.5000 0.0000  2 Ge 2.70
Ge: 0.0000 0.0000 0.0000  6 Y 2.70

calculated formation energy	-0.422	eV/atom
final energy	-29.8	eV/cell

=====

10.
Y3GePb | PBE | optimized geometry

Cell: 8.1706 8.4883 8.4883 Å, 81.28 90.00 90.00°
With the nearest neighbours (Å) after each atom.
Sites, in units of the cell vectors:
Pb: 0.7500 0.6586 0.3414  8 Y 3.15-3.38
Pb: 0.2500 0.3414 0.6586  8 Y 3.15-3.38
Pb: 0.7500 0.1600 0.8400  8 Y 3.15-3.38
Pb: 0.2500 0.8400 0.1600  8 Y 3.15-3.38
Y: 0.0841 0.6979 0.5176  2 Ge 3.02, 3 Pb 3.15-3.38
Y: 0.9159 0.3021 0.4824  2 Ge 3.02, 3 Pb 3.15-3.38
Y: 0.6984 0.9288 0.5717  3 Ge 2.95-3.00, 2 Pb 3.25-3.26
Y: 0.4157 0.1973 0.0159  2 Ge 3.01-3.02, 1 Pb 3.15
Y: 0.3016 0.0712 0.4283  3 Ge 2.95-3.00, 2 Pb 3.25-3.26
Y: 0.1984 0.5717 0.9288  3 Ge 2.95-3.00, 2 Pb 3.25-3.26
Y: 0.9157 0.0159 0.1973  2 Ge 3.01-3.02, 1 Pb 3.15
Y: 0.0843 0.9841 0.8027  2 Ge 3.01-3.02, 1 Pb 3.15
Y: 0.5841 0.5176 0.6979  2 Ge 3.02, 3 Pb 3.15-3.38
Y: 0.8016 0.4283 0.0712  3 Ge 2.95-3.00, 2 Pb 3.25-3.26
Y: 0.5843 0.8027 0.9841  2 Ge 3.01-3.02, 1 Pb 3.15
Y: 0.4159 0.4824 0.3021  2 Ge 3.02, 3 Pb 3.15-3.38
Ge: 0.1264 0.3089 0.1894  7 Y 2.95-3.02
Ge: 0.3736 0.8106 0.6911  7 Y 2.95-3.02
Ge: 0.6264 0.1894 0.3089  7 Y 2.95-3.02
Ge: 0.8736 0.6911 0.8106  7 Y 2.95-3.02

calculated formation energy	-0.583	eV/atom
final energy	-122.5	eV/cell

=====

11.
YGePb | PBE | optimized geometry

Cell: 4.1134 4.4291 8.6318 Å, 75.13 90.00 90.00°
With the nearest neighbours (Å) after each atom.
Sites, in units of the cell vectors:
Ge: 0.7500 0.4473 0.1054  2 Ge 2.71
Ge: 0.2500 0.5527 0.8946  2 Ge 2.71
Y: 0.2500 0.9099 0.1803  6 Ge 3.09-3.25, 2 Pb 3.29
Y: 0.7500 0.0901 0.8197  6 Ge 3.09-3.25, 2 Pb 3.29
Pb: 0.2500 0.2639 0.4722  4 Pb 3.06, 2 Y 3.29
Pb: 0.7500 0.7361 0.5278  4 Pb 3.06, 2 Y 3.29

calculated formation energy	-0.500	eV/atom
final energy	-32.6	eV/cell

=====

12.
Y2Ge2Pb | PBE | optimized geometry

Cell: 3.8231 3.8231 9.1219 Å, 77.90 77.90 90.00°
With the nearest neighbours (Å) after each atom.
Sites, in units of the cell vectors:
Pb: 0.0000 0.0000 0.0000  8 Y 3.38
Ge: 0.7500 0.2500 0.5000  4 Ge 2.70, 4 Y 3.01
Ge: 0.2500 0.7500 0.5000  4 Ge 2.70, 4 Y 3.01
Y: 0.3834 0.3834 0.2332  4 Ge 3.01
Y: 0.6166 0.6166 0.7668  4 Ge 3.01

calculated formation energy	-0.506	eV/atom
final energy	-28.4	eV/cell